## PuPd2Pb2 (PBE)

Data for PuPd2Pb2 after structural relaxation.

It has space group P2_1/m (No. 11), with a = 4.9503 Å, b = 4.8598 Å, c = 10.1410 Å, α = 90.00°, β = 90.37° and γ = 90.00°. Symmetry generates all atoms from Pu at (0.2490, 0.2500, 0.3258), Pd at (0.2481, 0.7500, 0.4910), Pd at (0.2518, 0.7500, 0.8323), Pb at (0.2487, 0.2500, 0.9925) and Pb at (0.2526, 0.2500, 0.6672).

The calculation puts the excess energy over the best structure of this formula in the dataset at 0 meV/atom. As for the mass density: 11.860 Mg/m³. The value obtained for the final energy is -6.720 eV per atom. The formation energy comes out at -0.29 eV per atom.


## Pu5Pd6Pb (PBE)

Data for Pu5Pd6Pb after structural relaxation.

It has space group Immm (No. 71), with a = 5.1490 Å, b = 6.6399 Å, c = 15.2447 Å, α = 90.00°, β = 90.00° and γ = 90.00°. Symmetry generates all atoms from Pu at (0.0000, 0.0000, 0.0000), Pu at (0.0000, 0.0000, 0.3449), Pu at (0.0000, 0.5000, 0.3234), Pd at (0.0000, 0.2346, 0.1672), Pd at (0.0000, 0.2776, 0.5000) and Pb at (0.0000, 0.5000, 0.0000).

As for the mass density: 13.163 Mg/m³. The value obtained for the final energy is -9.243 eV per atom. The formation energy comes out at -0.37 eV per atom.


## PuPdPb2 (PBE)

Data for PuPdPb2 after structural relaxation.

It has space group P4/mmm (No. 123), with a = 3.4904 Å, b = 3.4904 Å, c = 7.9266 Å, α = 90.00°, β = 90.00° and γ = 90.00°. Symmetry generates all atoms from Pu at (0.0000, 0.0000, 0.0000), Pd at (0.0000, 0.0000, 0.5000) and Pb at (0.5000, 0.5000, 0.2881).

The calculation puts the excess energy over the best structure of this formula in the dataset at 109 meV/atom. As for the mass density: 13.151 Mg/m³. The value obtained for the final energy is -6.897 eV per atom. The formation energy comes out at -0.16 eV per atom.


## Pu6Pd6Pb (PBE)

Data for Pu6Pd6Pb after structural relaxation.

It has space group Immm (No. 71), with a = 5.7993 Å, b = 9.6767 Å, c = 10.3479 Å, α = 90.00°, β = 90.00° and γ = 90.00°. Symmetry generates all atoms from Pu at (0.0000, 0.0000, 0.1701), Pu at (0.0000, 0.3314, 0.0000), Pu at (0.0000, 0.3386, 0.5000), Pd at (0.0000, 0.5000, 0.2495), Pd at (0.2500, 0.2500, 0.2500) and Pb at (0.0000, 0.0000, 0.5000).

As for the mass density: 13.209 Mg/m³. The value obtained for the final energy is -9.575 eV per atom. The formation energy comes out at -0.28 eV per atom.


## PuPd12Pb6 (PBE)

Data for PuPd12Pb6 after structural relaxation.

It has space group R-3m (No. 166, hexagonal axes), with a = 12.2335 Å, b = 12.2335 Å, c = 9.2213 Å, α = 90.00°, β = 90.00° and γ = 120.00°. Symmetry generates all atoms from Pu at (0.0000, 0.0000, 0.0000), Pd at (0.0000, 0.3861, 0.5000), Pd at (0.0789, 0.1578, 0.2660) and Pb at (0.0576, 0.5288, 0.2489).

As for the mass density: 11.522 Mg/m³. The value obtained for the final energy is -5.342 eV per atom. The formation energy comes out at -0.14 eV per atom.


## Pu2Pd3Pb (PBE)

Data for Pu2Pd3Pb after structural relaxation.

It has space group R-3m (No. 166, hexagonal axes), with a = 5.6720 Å, b = 5.6720 Å, c = 13.5766 Å, α = 90.00°, β = 90.00° and γ = 120.00°. Symmetry generates all atoms from Pu at (0.0000, 0.0000, 0.1158), Pd at (0.0000, 0.5000, 0.0000) and Pb at (0.0000, 0.0000, 0.5000).

The calculation puts the excess energy over the best structure of this formula in the dataset at 0 meV/atom. As for the mass density: 13.360 Mg/m³. The value obtained for the final energy is -8.403 eV per atom. The formation energy comes out at -0.41 eV per atom.


## Pu6Pd5Pb (PBE)

Data for Pu6Pd5Pb after structural relaxation.

It has space group Immm (No. 71), with a = 4.6614 Å, b = 8.2763 Å, c = 13.8931 Å, α = 90.00°, β = 90.00° and γ = 90.00°. Symmetry generates all atoms from Pu at (0.0000, 0.2225, 0.0000), Pu at (0.0000, 0.2674, 0.3281), Pd at (0.0000, 0.0000, 0.1764), Pd at (0.0000, 0.5000, 0.1571), Pd at (0.0000, 0.5000, 0.5000) and Pb at (0.0000, 0.0000, 0.5000).

As for the mass density: 13.652 Mg/m³. The value obtained for the final energy is -9.968 eV per atom. The formation energy comes out at -0.33 eV per atom.


## PuPdPb2 (PBE)

Data for PuPdPb2 after structural relaxation.

It has space group R-3m (No. 166, hexagonal axes), with a = 3.3945 Å, b = 3.3945 Å, c = 32.2770 Å, α = 90.00°, β = 90.00° and γ = 120.00°. Symmetry generates all atoms from Pu at (0.0000, 0.0000, 0.0000), Pd at (0.0000, 0.0000, 0.5000) and Pb at (0.0000, 0.0000, 0.1011).

The calculation puts the excess energy over the best structure of this formula in the dataset at 372 meV/atom. As for the mass density: 11.829 Mg/m³. The value obtained for the final energy is -6.634 eV per atom. The formation energy comes out at 0.10 eV per atom.


## PuPdPb2 (PBE)

Data for PuPdPb2 after structural relaxation.

It has space group Fm-3m (No. 225), with a = 7.3154 Å, b = 7.3154 Å, c = 7.3154 Å, α = 90.00°, β = 90.00° and γ = 90.00°. Symmetry generates all atoms from Pu at (0.0000, 0.0000, 0.0000), Pd at (0.0000, 0.0000, 0.5000) and Pb at (0.2500, 0.2500, 0.2500).

The calculation puts the excess energy over the best structure of this formula in the dataset at 149 meV/atom. As for the mass density: 12.976 Mg/m³. The value obtained for the final energy is -6.857 eV per atom. The formation energy comes out at -0.12 eV per atom.


## Pu3PdPb (PBE)

Data for Pu3PdPb after structural relaxation.

It has space group Pm-3m (No. 221), with a = 7.2734 Å, b = 7.2734 Å, c = 7.2734 Å, α = 90.00°, β = 90.00° and γ = 90.00°. Symmetry generates all atoms from Pu at (0.0000, 0.0000, 0.0000), Pu at (0.2780, 0.2780, 0.2780), Pd at (0.0000, 0.5000, 0.5000) and Pb at (0.0000, 0.0000, 0.5000).

As for the mass density: 13.537 Mg/m³. The value obtained for the final energy is -10.498 eV per atom. The formation energy comes out at -0.12 eV per atom.


## PuPdPb2 (PBE)

Data for PuPdPb2 after structural relaxation.

It has space group P4/mmm (No. 123), with a = 4.6428 Å, b = 4.6428 Å, c = 4.5841 Å, α = 90.00°, β = 90.00° and γ = 90.00°. Symmetry generates all atoms from Pu at (0.0000, 0.0000, 0.0000), Pd at (0.5000, 0.5000, 0.0000) and Pb at (0.0000, 0.5000, 0.5000).

The calculation puts the excess energy over the best structure of this formula in the dataset at 117 meV/atom. As for the mass density: 12.853 Mg/m³. The value obtained for the final energy is -6.889 eV per atom. The formation energy comes out at -0.15 eV per atom.


## PuPd3Pb (PBE)

Data for PuPd3Pb after structural relaxation.

It has space group Pnma (No. 62), with a = 7.3234 Å, b = 6.8110 Å, c = 8.1566 Å, α = 90.00°, β = 90.00° and γ = 90.00°. Symmetry generates all atoms from Pu at (0.1331, 0.2500, 0.1609), Pd at (0.1480, 0.0476, 0.8392), Pd at (0.1834, 0.7500, 0.0797) and Pb at (0.0000, 0.0000, 0.5000).

As for the mass density: 12.578 Mg/m³. The value obtained for the final energy is -7.055 eV per atom. The formation energy comes out at -0.33 eV per atom.